# Pm2YTmBi5

Crystalline Pm2YTmBi5 at its relaxed geometry (PBE, Alexandria). Values from VASP.

```
&SYSTEM
  ibrav = 0, nat = 9, ntyp = 4
/
ATOMIC_SPECIES
Pm 145.00 Pm.upf
Bi 208.98 Bi.upf
Y 88.91 Y.upf
Tm 168.93 Tm.upf
CELL_PARAMETERS angstrom
5.381 0.000 0.000
0.000 5.381 0.000
0.000 0.000 11.907
ATOMIC_POSITIONS crystal
Pm 0.500 0.500 0.272
Bi 0.000 0.500 0.500
Bi 0.500 0.500 0.000
Y 0.000 0.000 0.000
Bi 0.000 0.000 0.247
Tm 0.000 0.000 0.500
Pm 0.500 0.500 0.728
Bi 0.500 0.000 0.500
Bi 0.000 0.000 0.753
```

Results
mass density = 7.7 g cm⁻³
calculated volume = 344.8 Å³/f.u.
space-group type = No. 123
energy of formation from the pure elements = -0.13 eV/atom

***

# PmTmZnBi

Crystalline PmTmZnBi at its relaxed geometry (PBE, Alexandria). Values from VASP.

```
&SYSTEM
  ibrav = 0, nat = 4, ntyp = 4
/
ATOMIC_SPECIES
Tm 168.93 Tm.upf
Bi 208.98 Bi.upf
Pm 145.00 Pm.upf
Zn 65.41 Zn.upf
CELL_PARAMETERS angstrom
-0.207 -4.987 1.852
-1.430 -3.982 -3.231
3.614 -3.577 -1.577
ATOMIC_POSITIONS crystal
Tm 0.250 0.250 0.250
Bi 0.500 0.500 0.500
Pm 0.750 0.750 0.750
Zn 0.000 0.000 0.000
```

Results
mass density = 9.2 g cm⁻³
calculated volume = 106.7 Å³/f.u.
space-group type = No. 216
energy of formation from the pure elements = -0.39 eV/atom